[1]
Below is a relaxed structure of RbHg4Pb, with properties calculated at the GGA-PBE level.

Cell: 8.9441 8.9441 8.9441 Å, 90.00 90.00 90.00°
Last column: nearest neighbours and their distance in Å.
Space group F-43m (No. 216)
Symmetry-distinct sites (fractional):
Rb 0.0000 0.0000 0.0000 x4  12 Hg 3.71, 4 Pb 3.87
Hg 0.1249 0.1249 0.6249 x16  6 Hg 3.16-3.17
Pb 0.2500 0.2500 0.2500 x4  12 Hg 3.71, 4 Rb 3.87

## Properties
size of the total moment: 0.00 μB/f.u.
E_form: -0.083 eV per atom
density of states at the Fermi level: 0.3183 states/eV/atom
calculated volume: 715.5 Å³ per cell
energy above the most stable polymorph in this dataset: 43 meV/atom
raw total energy: -1.06 eV per atom

[2]
Below is a relaxed structure of SbMoP, with properties calculated at the GGA-PBE level.

Cell: 3.1453 3.1453 11.9910 Å, 90.00 90.00 90.00°
Last column: nearest neighbours and their distance in Å.
Space group I4mm (No. 107)
Symmetry-distinct sites (fractional):
Sb 0.0000 0.0000 0.0000 x2  4 Mo 2.97, 1 P 3.10, 4 Sb 3.15
Mo 0.0000 0.0000 0.3357 x2  4 P 2.49
P 0.0000 0.0000 0.7416 x2  4 Mo 2.49

## Properties
size of the total moment: 0.00 μB/f.u.
density of states at the Fermi level: 0.6864 states/eV/atom
formation energy from raw total energies: -0.03 eV per formula unit
calculated volume: 118.6 Å³ per cell
energy above the most stable polymorph in this dataset: 63 meV/atom
raw total energy: -6.80 eV per atom

[3]
Below is a relaxed structure of Mg2InGaOs, with properties calculated at the GGA-PBE level.

Cell: 5.1790 5.1790 5.0307 Å, 90.00 90.00 90.00°
Last column: nearest neighbours and their distance in Å.
Space group P4/mmm (No. 123)
Symmetry-distinct sites (fractional):
Mg 0.0000 0.5000 0.0000 x2  2 In 2.59
In 0.0000 0.0000 0.0000 x1  2 Os 2.52, 4 Mg 2.59
Ga 0.5000 0.5000 0.5000 x1  8 Mg 3.61, 4 Os 3.66
Os 0.0000 0.0000 0.5000 x1  2 In 2.52

## Properties
size of the total moment: 1.29 μB/f.u.
E_form: 1.162 eV per atom
density of states at the Fermi level: 1.1991 states/eV/atom
calculated volume: 134.9 Å³ per cell
raw total energy: -2.87 eV per atom

[4]
Below is a relaxed structure of TbMg2Sn3, with properties calculated at the GGA-PBE level.

Cell: 11.9756 9.8174 6.0400 Å, 90.00 90.00 90.00°
Last column: nearest neighbours and their distance in Å.
Space group Cmcm (No. 63)
Symmetry-distinct sites (fractional):
Tb 0.0000 0.2040 0.2500 x4  4 Sn 3.16
Mg 0.1326 0.5000 0.0000 x8  4 Sn 2.96-3.00, 3 Mg 3.02-3.18
Sn 0.0000 0.2971 0.7500 x4  4 Mg 2.96, 2 Sn 3.01, 2 Tb 3.16
Sn 0.1555 0.0560 0.7500 x8  2 Mg 3.00, 3 Sn 3.01-3.21, 1 Tb 3.16

## Properties
size of the total moment: 0.00 μB/f.u.
E_form: -0.101 eV per atom
density of states at the Fermi level: 0.5470 states/eV/atom
calculated volume: 710.1 Å³ per cell
energy above the most stable polymorph in this dataset: 271 meV/atom
raw total energy: -3.41 eV per atom

[5]
Below is a relaxed structure of AlCr2Os, with properties calculated at the GGA-PBE level.

Cell: 6.8935 6.8935 4.9967 Å, 90.00 90.00 90.00°
Last column: nearest neighbours and their distance in Å.
Space group I-42d (No. 122)
Symmetry-distinct sites (fractional):
Al 0.0000 0.0000 0.0000 x4  2 Os 2.50, 4 Cr 2.68
Cr 0.2170 0.2500 0.6250 x8  2 Os 2.37, 2 Cr 2.54
Os 0.0000 0.0000 0.5000 x4  4 Cr 2.37, 2 Al 2.50

## Properties
size of the total moment: 0.00 μB/f.u.
E_form: 0.633 eV per atom
density of states at the Fermi level: 1.4706 states/eV/atom
calculated volume: 237.4 Å³ per cell
raw total energy: -7.92 eV per atom

[6]
Below is a relaxed structure of Sr4Zr2C, with properties calculated at the GGA-PBE level.

Cell: 5.3755 5.3755 17.7544 Å, 90.00 90.00 90.00°
Last column: nearest neighbours and their distance in Å.
Space group I4/mmm (No. 139)
Symmetry-distinct sites (fractional):
Sr 0.0000 0.0000 0.1558 x4  1 C 2.77
Sr 0.0000 0.5000 0.0000 x4  2 C 2.69
Zr 0.0000 0.0000 0.3587 x4  9 Sr 3.60-3.81
C 0.0000 0.0000 0.0000 x2  6 Sr 2.69-2.77

## Properties
size of the total moment: 5.36 μB/f.u.
E_form: 1.070 eV per atom
density of states at the Fermi level: 2.0065 states/eV/atom
calculated volume: 513.0 Å³ per cell
raw total energy: -3.65 eV per atom

[7]
Below is a relaxed structure of CaZn2Sn2, with properties calculated at the GGA-PBE level.

Cell: 8.2504 8.2504 3.5150 Å, 90.00 90.00 90.00°
Last column: nearest neighbours and their distance in Å.
Space group P4/mbm (No. 127)
Symmetry-distinct sites (fractional):
Ca 0.0000 0.0000 0.0000 x2  4 Sn 3.20, 2 Ca 3.51, 8 Zn 3.57
Zn 0.1591 0.3409 0.5000 x4  6 Sn 2.95-3.02
Sn 0.1374 0.6374 0.0000 x4  6 Zn 2.95-3.02, 2 Ca 3.20, 1 Sn 3.21

## Properties
size of the total moment: 0.00 μB/f.u.
E_form: -0.085 eV per atom
density of states at the Fermi level: 0.4667 states/eV/atom
calculated volume: 239.3 Å³ per cell
raw total energy: -2.60 eV per atom

[8]
Below is a relaxed structure of Te2IrC, with properties calculated at the GGA-PBE level.

Cell: 5.6700 5.6700 10.9549 Å, 90.00 90.00 90.00°
Last column: nearest neighbours and their distance in Å.
Space group I-42d (No. 122)
Symmetry-distinct sites (fractional):
Te 0.2158 0.2500 0.1250 x8  2 C 2.32, 2 Ir 2.55
Ir 0.0000 0.0000 0.5000 x4  4 Te 2.55
C 0.0000 0.0000 0.0000 x4  4 Te 2.32

## Properties
size of the total moment: 0.00 μB/f.u.
density of states at the Fermi level: 0.4791 states/eV/atom
formation energy from raw total energies: 3.81 eV per formula unit
calculated volume: 352.2 Å³ per cell
raw total energy: -5.14 eV per atom

[9]
Below is a relaxed structure of Zn2SnSb3, with properties calculated at the GGA-PBE level.

Cell: 7.7249 13.3549 7.6677 Å, 90.00 109.32 90.00°
Last column: nearest neighbours and their distance in Å.
Space group Cc (No. 9)
Symmetry-distinct sites (fractional):
Zn 0.0000 0.0815 0.0000 x4  4 Sb 2.65-2.68
Zn 0.4855 0.2513 0.9976 x4  4 Sb 2.65-2.67
Sn 0.4863 0.0867 0.4902 x4  4 Sb 2.85-2.87
Sb 0.0955 0.0848 0.3661 x4  3 Zn 2.65-2.66, 1 Sn 2.85
Sb 0.1227 0.2390 0.8645 x4  3 Zn 2.65-2.66, 1 Sn 2.85
Sb 0.1325 0.4073 0.3861 x4  2 Zn 2.67-2.68, 2 Sn 2.87

## Properties
size of the total moment: 0.00 μB/f.u.
density of states at the Fermi level: 0.3731 states/eV/atom
formation energy from raw total energies: -0.10 eV per formula unit
calculated volume: 746.5 Å³ per cell
raw total energy: -3.17 eV per atom

[10]
Below is a relaxed structure of MnRh2W, with properties calculated at the GGA-PBE level.

Cell: 3.8816 3.8816 7.5486 Å, 90.00 90.00 90.00°
Last column: nearest neighbours and their distance in Å.
Space group I4/mmm (No. 139)
Symmetry-distinct sites (fractional):
Mn 0.0000 0.0000 0.0000 x2  8 Rh 2.71, 4 W 2.74
Rh 0.0000 0.5000 0.2500 x4  4 Mn 2.71, 4 W 2.71, 4 Rh 2.74
W 0.0000 0.0000 0.5000 x2  8 Rh 2.71, 4 Mn 2.74

## Properties
size of the total moment: 2.69 μB/f.u.
E_form: -0.156 eV per atom
density of states at the Fermi level: 1.0744 states/eV/atom
calculated volume: 113.7 Å³ per cell
energy above the most stable polymorph in this dataset: 12 meV/atom
raw total energy: -9.36 eV per atom

[11]
Below is a relaxed structure of Pa2SiTcC, with properties calculated at the GGA-PBE level.

Cell: 6.3361 3.6348 8.3581 Å, 90.00 102.05 90.00°
Last column: nearest neighbours and their distance in Å.
Space group P2_1/m (No. 11)
Symmetry-distinct sites (fractional):
Pa 0.2164 0.2500 0.4378 x2  3 C 2.31-2.54, 1 Tc 2.52
Pa 0.2266 0.2500 0.8629 x2  2 C 2.59, 2 Tc 2.87
Si 0.2529 0.7500 0.1444 x2  2 Tc 2.50
Tc 0.4960 0.7500 0.7303 x2  1 C 2.13
C 0.1563 0.7500 0.6365 x2  1 Tc 2.13, 1 Pa 2.31

## Properties
size of the total moment: 0.00 μB/f.u.
density of states at the Fermi level: 0.7712 states/eV/atom
formation energy from raw total energies: -1.97 eV per formula unit
calculated volume: 188.2 Å³ per cell
raw total energy: -9.19 eV per atom